[1]
Entry from Alexandria: a relaxed CsVI2F crystal (PBE with a Hubbard U).

Cell: 6.1291 6.1291 4.2773 Å, 90.00 90.00 90.00°
Space group P4/mmm (No. 123)
Symmetry-distinct sites (fractional):
1 Cs 0.0000 0.0000 0.0000
2 V 0.5000 0.5000 0.5000
3 I 0.0000 0.5000 0.5000
4 F 0.5000 0.5000 0.0000

Values from the calculation:
Its crystal system is tetragonal. The value obtained for the spin magnetization is 3.000 μB per cell. The calculation puts the density of states at the Fermi level at 0.00 states/eV/cell. Its uncorrected energy is -4.08 eV per atom.

---

[2]
Entry from Alexandria: a relaxed FePF2 crystal (PBE with a Hubbard U).

Cell: 6.8112 6.8112 5.2003 Å, 90.00 90.00 90.00°
Space group I-42d (No. 122)
Symmetry-distinct sites (fractional):
1 Fe 0.0000 0.0000 0.0000
2 P 0.0000 0.0000 0.5000
3 F 0.1345 0.2500 0.1250

Values from the calculation:
Its crystal system is tetragonal. The value obtained for the spin magnetization is 12.169 μB per cell. The calculation puts the density of states at the Fermi level at 6.11 states/eV/cell. The calculation puts the energy above the most stable polymorph in this dataset at 27.1 kJ/mol of atoms.